No. 1
VASP calculation (PBE-GGA) on Nd3Y2Ho7 after structural relaxation.

Lattice parameters (Å, degrees): 5.834 3.566 18.853 90.00 93.00 90.00
Space group P2/m (No. 10)
Inequivalent atoms, fractional coordinates:
1 Nd 0.000 0.000 0.000 (multiplicity 1)
2 Nd 0.278 0.500 0.632 (multiplicity 2)
3 Y 0.210 0.000 0.292 (multiplicity 2)
4 Ho 0.190 0.500 0.143 (multiplicity 2)
5 Ho 0.243 0.000 0.462 (multiplicity 2)
6 Ho 0.307 0.000 0.825 (multiplicity 2)
7 Ho 0.500 0.500 0.000 (multiplicity 1)

Properties
final energy: -58.2 eV per cell
offset from the most stable computed form: 0.002 eV/atom
formation enthalpy at 0 K: 0.089 eV/atom

No. 2
VASP calculation (PBE-GGA) on Nd3Y4Ho3 after structural relaxation.

Lattice parameters (Å, degrees): 3.698 13.384 13.463 90.00 90.00 90.00
Space group Amm2 (No. 38)
Inequivalent atoms, fractional coordinates:
1 Nd 0.000 0.000 0.000 (multiplicity 2)
2 Nd 0.000 0.174 0.673 (multiplicity 4)
3 Y 0.500 0.000 0.546 (multiplicity 2)
4 Y 0.500 0.000 0.799 (multiplicity 2)
5 Y 0.500 0.125 0.176 (multiplicity 4)
6 Ho 0.000 0.000 0.347 (multiplicity 2)
7 Ho 0.500 0.246 0.421 (multiplicity 4)

Properties
final energy: -105.6 eV per cell
formation enthalpy at 0 K: 0.111 eV/atom

No. 3
VASP calculation (PBE-GGA) on Nd12YHo3 after structural relaxation.

Lattice parameters (Å, degrees): 5.159 5.159 20.570 90.00 90.00 90.00
Space group P4/mmm (No. 123)
Inequivalent atoms, fractional coordinates:
1 Nd 0.000 0.000 0.000 (multiplicity 1)
2 Nd 0.000 0.000 0.250 (multiplicity 2)
3 Nd 0.000 0.000 0.500 (multiplicity 1)
4 Nd 0.000 0.500 0.125 (multiplicity 4)
5 Nd 0.000 0.500 0.374 (multiplicity 4)
6 Y 0.500 0.500 0.500 (multiplicity 1)
7 Ho 0.500 0.500 0.000 (multiplicity 1)
8 Ho 0.500 0.500 0.250 (multiplicity 2)

Properties
final energy: -77.2 eV per cell
formation enthalpy at 0 K: 0.013 eV/atom

No. 4
VASP calculation (PBE-GGA) on NdY2Ho8 after structural relaxation.

Lattice parameters (Å, degrees): 5.503 8.084 15.929 90.00 90.00 90.00
Space group Immm (No. 71)
Inequivalent atoms, fractional coordinates:
1 Nd 0.000 0.000 0.000 (multiplicity 2)
2 Y 0.000 0.000 0.300 (multiplicity 4)
3 Ho 0.000 0.206 0.500 (multiplicity 4)
4 Ho 0.000 0.294 0.138 (multiplicity 8)
5 Ho 0.000 0.500 0.337 (multiplicity 4)

Properties
final energy: -106.0 eV per cell
offset from the most stable computed form: 0.000 eV/atom
formation enthalpy at 0 K: 0.119 eV/atom

No. 5
VASP calculation (PBE-GGA) on Nd7YHo2 after structural relaxation.

Lattice parameters (Å, degrees): 8.867 16.546 5.680 90.00 90.00 90.00
Space group Cmmm (No. 65)
Inequivalent atoms, fractional coordinates:
1 Nd 0.000 0.000 0.000 (multiplicity 2)
2 Nd 0.000 0.280 0.500 (multiplicity 4)
3 Nd 0.179 0.387 0.000 (multiplicity 8)
4 Y 0.000 0.500 0.500 (multiplicity 2)
5 Ho 0.000 0.205 0.000 (multiplicity 4)

Properties
final energy: -85.3 eV per cell
offset from the most stable computed form: 0.621 eV/atom
formation enthalpy at 0 K: 0.636 eV/atom

No. 6
VASP calculation (PBE-GGA) on Nd8YHo2 after structural relaxation.

Lattice parameters (Å, degrees): 14.408 6.823 8.682 90.00 115.08 90.00
Space group C2/m (No. 12)
Inequivalent atoms, fractional coordinates:
1 Nd 0.095 0.241 0.385 (multiplicity 8)
2 Nd 0.108 0.000 0.993 (multiplicity 4)
3 Nd 0.240 0.000 0.778 (multiplicity 4)
4 Y 0.000 0.500 0.000 (multiplicity 2)
5 Ho 0.143 0.500 0.757 (multiplicity 4)

Properties
final energy: -103.0 eV per cell
offset from the most stable computed form: 0.040 eV/atom
formation enthalpy at 0 K: 0.205 eV/atom

No. 7
VASP calculation (PBE-GGA) on Nd4Y9Ho11 after structural relaxation.

Lattice parameters (Å, degrees): 16.739 25.123 3.698 90.00 90.00 90.00
Space group Cmmm (No. 65)
Inequivalent atoms, fractional coordinates:
1 Nd 0.154 0.100 0.000 (multiplicity 8)
2 Y 0.000 0.000 0.000 (multiplicity 2)
3 Y 0.102 0.236 0.000 (multiplicity 8)
4 Y 0.139 0.427 0.000 (multiplicity 8)
5 Ho 0.000 0.135 0.500 (multiplicity 4)
6 Ho 0.000 0.341 0.500 (multiplicity 4)
7 Ho 0.000 0.500 0.500 (multiplicity 2)
8 Ho 0.212 0.000 0.500 (multiplicity 4)
9 Ho 0.227 0.319 0.500 (multiplicity 8)

Properties
final energy: -252.7 eV per cell
formation enthalpy at 0 K: 0.052 eV/atom

No. 8
VASP calculation (PBE-GGA) on Nd3Y3Ho5 after structural relaxation.

Lattice parameters (Å, degrees): 9.6276 9.6276 5.5295 90.00 90.00 120.00
Space group P-62m (No. 189)
Inequivalent atoms, fractional coordinates:
1 Nd 0.0000 0.3651 0.0000 (multiplicity 3)
2 Y 0.0000 0.5446 0.5000 (multiplicity 3)
3 Ho 0.0000 0.7312 0.0000 (multiplicity 3)
4 Ho 0.3333 0.6667 0.0000 (multiplicity 2)

Properties
final energy: -47.7 eV per cell
formation enthalpy at 0 K: 0.806 eV/atom

No. 9
VASP calculation (PBE-GGA) on Nd5Y2Ho2 after structural relaxation.

Lattice parameters (Å, degrees): 11.469 5.124 10.859 90.00 108.31 90.00
Space group C2/m (No. 12)
Inequivalent atoms, fractional coordinates:
1 Nd 0.000 0.000 0.000 (multiplicity 2)
2 Nd 0.165 0.500 0.555 (multiplicity 4)
3 Nd 0.165 0.500 0.887 (multiplicity 4)
4 Y 0.168 0.500 0.224 (multiplicity 4)
5 Ho 0.001 0.000 0.334 (multiplicity 4)

Properties
final energy: -91.5 eV per cell
offset from the most stable computed form: 0.000 eV/atom
formation enthalpy at 0 K: 0.018 eV/atom

No. 10
VASP calculation (PBE-GGA) on Nd3YHo6 after structural relaxation.

Lattice parameters (Å, degrees): 10.902 18.840 6.396 90.00 90.00 90.00
Space group Cmc2_1 (No. 36)
Inequivalent atoms, fractional coordinates:
1 Nd 0.000 0.113 0.000 (multiplicity 4)
2 Nd 0.179 0.386 0.396 (multiplicity 8)
3 Y 0.000 0.311 0.054 (multiplicity 4)
4 Ho 0.000 0.232 0.582 (multiplicity 4)
5 Ho 0.000 0.465 0.781 (multiplicity 4)
6 Ho 0.169 0.046 0.477 (multiplicity 8)
7 Ho 0.235 0.210 0.298 (multiplicity 8)

Properties
final energy: -186.8 eV per cell
offset from the most stable computed form: 0.000 eV/atom
formation enthalpy at 0 K: 0.152 eV/atom

No. 11
VASP calculation (PBE-GGA) on Nd2YHo2 after structural relaxation.

Lattice parameters (Å, degrees): 6.861 16.369 6.260 90.00 90.00 90.00
Space group Cmcm (No. 63)
Inequivalent atoms, fractional coordinates:
1 Nd 0.000 0.101 0.250 (multiplicity 4)
2 Nd 0.000 0.330 0.750 (multiplicity 4)
3 Y 0.000 0.500 0.000 (multiplicity 4)
4 Ho 0.239 0.329 0.250 (multiplicity 8)

Properties
final energy: -94.7 eV per cell
offset from the most stable computed form: 0.281 eV/atom
formation enthalpy at 0 K: 0.298 eV/atom

No. 12
VASP calculation (PBE-GGA) on Nd7Y2Ho3 after structural relaxation.

Lattice parameters (Å, degrees): 5.823 38.437 3.641 90.00 90.00 90.00
Space group Cmmm (No. 65)
Inequivalent atoms, fractional coordinates:
1 Nd 0.000 0.000 0.000 (multiplicity 2)
2 Nd 0.000 0.072 0.500 (multiplicity 4)
3 Nd 0.000 0.232 0.000 (multiplicity 4)
4 Nd 0.000 0.407 0.000 (multiplicity 4)
5 Y 0.000 0.149 0.000 (multiplicity 4)
6 Ho 0.000 0.315 0.500 (multiplicity 4)
7 Ho 0.000 0.500 0.500 (multiplicity 2)

Properties
final energy: -117.3 eV per cell
offset from the most stable computed form: 0.046 eV/atom
formation enthalpy at 0 K: 0.115 eV/atom

No. 13
VASP calculation (PBE-GGA) on NdY3Ho2 after structural relaxation.

Lattice parameters (Å, degrees): 6.796 7.113 8.714 101.85 97.48 105.01
Space group P-1 (No. 2)
Inequivalent atoms, fractional coordinates:
1 Nd 0.245 0.194 0.029 (multiplicity 2)
2 Y 0.081 0.976 0.334 (multiplicity 2)
3 Y 0.082 0.480 0.337 (multiplicity 2)
4 Y 0.246 0.690 0.021 (multiplicity 2)
5 Ho 0.388 0.888 0.663 (multiplicity 2)
6 Ho 0.389 0.386 0.660 (multiplicity 2)

Properties
final energy: -66.1 eV per cell
formation enthalpy at 0 K: 0.042 eV/atom

No. 14
VASP calculation (PBE-GGA) on Nd3YHo6 after structural relaxation.

Lattice parameters (Å, degrees): 11.551 6.584 9.699 90.00 114.67 90.00
Space group C2/m (No. 12)
Inequivalent atoms, fractional coordinates:
1 Nd 0.000 0.000 0.000 (multiplicity 2)
2 Nd 0.071 0.000 0.700 (multiplicity 4)
3 Y 0.000 0.500 0.500 (multiplicity 2)
4 Ho 0.136 0.500 0.922 (multiplicity 4)
5 Ho 0.186 0.254 0.312 (multiplicity 8)

Properties
final energy: -92.0 eV per cell
offset from the most stable computed form: 0.069 eV/atom
formation enthalpy at 0 K: 0.221 eV/atom

No. 15
VASP calculation (PBE-GGA) on Nd5YHo12 after structural relaxation.

Lattice parameters (Å, degrees): 6.209 10.747 17.478 90.00 96.80 90.00
Space group C2/m (No. 12)
Inequivalent atoms, fractional coordinates:
1 Nd 0.000 0.000 0.000 (multiplicity 2)
2 Nd 0.000 0.167 0.500 (multiplicity 4)
3 Nd 0.000 0.333 0.000 (multiplicity 4)
4 Y 0.000 0.500 0.500 (multiplicity 2)
5 Ho 0.111 0.167 0.830 (multiplicity 8)
6 Ho 0.111 0.500 0.830 (multiplicity 4)
7 Ho 0.223 0.334 0.667 (multiplicity 8)
8 Ho 0.224 0.000 0.667 (multiplicity 4)

Properties
final energy: -170.2 eV per cell
formation enthalpy at 0 K: 0.007 eV/atom

No. 16
VASP calculation (PBE-GGA) on Nd5Y8Ho after structural relaxation.

Lattice parameters (Å, degrees): 9.679 9.679 10.175 90.00 90.00 90.00
Space group I-4 (No. 82)
Inequivalent atoms, fractional coordinates:
1 Nd 0.000 0.000 0.000 (multiplicity 2)
2 Nd 0.110 0.215 0.422 (multiplicity 8)
3 Y 0.072 0.325 0.095 (multiplicity 8)
4 Y 0.084 0.177 0.753 (multiplicity 8)
5 Ho 0.000 0.500 0.750 (multiplicity 2)

Properties
final energy: -153.7 eV per cell
formation enthalpy at 0 K: 0.235 eV/atom

No. 17
VASP calculation (PBE-GGA) on Nd4Y3Ho after structural relaxation.

Lattice parameters (Å, degrees): 23.758 3.501 6.848 90.00 106.41 90.00
Space group C2/m (No. 12)
Inequivalent atoms, fractional coordinates:
1 Nd 0.124 0.000 0.369 (multiplicity 4)
2 Nd 0.240 0.500 0.237 (multiplicity 4)
3 Y 0.000 0.000 0.500 (multiplicity 2)
4 Y 0.123 0.000 0.882 (multiplicity 4)
5 Ho 0.000 0.500 0.000 (multiplicity 2)

Properties
final energy: -83.5 eV per cell
offset from the most stable computed form: 0.141 eV/atom
formation enthalpy at 0 K: 0.164 eV/atom

No. 18
VASP calculation (PBE-GGA) on Nd9YHo2 after structural relaxation.

Lattice parameters (Å, degrees): 5.156 5.156 15.468 90.00 90.00 90.00
Space group P4/mmm (No. 123)
Inequivalent atoms, fractional coordinates:
1 Nd 0.000 0.000 0.000 (multiplicity 1)
2 Nd 0.000 0.000 0.334 (multiplicity 2)
3 Nd 0.000 0.500 0.168 (multiplicity 4)
4 Nd 0.000 0.500 0.500 (multiplicity 2)
5 Y 0.500 0.500 0.000 (multiplicity 1)
6 Ho 0.500 0.500 0.334 (multiplicity 2)

Properties
final energy: -58.4 eV per cell
formation enthalpy at 0 K: 0.014 eV/atom

No. 19
VASP calculation (PBE-GGA) on Nd5YHo2 after structural relaxation.

Lattice parameters (Å, degrees): 6.472 25.925 6.586 90.00 96.16 90.00
Space group C2/c (No. 15)
Inequivalent atoms, fractional coordinates:
1 Nd 0.000 0.125 0.250 (multiplicity 4)
2 Nd 0.190 0.315 0.000 (multiplicity 8)
3 Nd 0.243 0.403 0.315 (multiplicity 8)
4 Y 0.000 0.454 0.750 (multiplicity 4)
5 Ho 0.000 0.000 0.000 (multiplicity 4)
6 Ho 0.250 0.250 0.500 (multiplicity 4)

Properties
final energy: -149.4 eV per cell
offset from the most stable computed form: 0.248 eV/atom
formation enthalpy at 0 K: 0.264 eV/atom

No. 20
VASP calculation (PBE-GGA) on Nd5Y4Ho after structural relaxation.

Lattice parameters (Å, degrees): 3.582 9.321 11.068 76.65 89.99 79.03
Space group P-1 (No. 2)
Inequivalent atoms, fractional coordinates:
1 Nd 0.000 0.000 0.000 (multiplicity 1)
2 Nd 0.333 0.338 0.975 (multiplicity 2)
3 Nd 0.339 0.324 0.586 (multiplicity 2)
4 Y 0.175 0.646 0.720 (multiplicity 2)
5 Y 0.476 0.048 0.243 (multiplicity 2)
6 Ho 0.000 0.000 0.500 (multiplicity 1)

Properties
final energy: -52.2 eV per cell
offset from the most stable computed form: 0.000 eV/atom
formation enthalpy at 0 K: 0.210 eV/atom